[1]
Below is a geometry-optimized ZnNiRh structure, with properties calculated at the PBE-GGA level. Values from VASP.

Results
SG: P2/m, No. 10
Relative energy among the computed polymorphs (eV per formula unit): 1.00
D(E_F) (states/eV/cell): 3.90
Magnetization (μB per cell): 0.7

The structure in Quantum ESPRESSO input format:
```
&SYSTEM
  ibrav = 0, nat = 3, ntyp = 3
/
ATOMIC_SPECIES
Zn 65.41 Zn.upf
Ni 58.69 Ni.upf
Rh 102.91 Rh.upf
ATOMIC_POSITIONS angstrom
Zn -1.364 -3.966 0.562
Ni 0.166 -1.885 0.978
Rh -0.831 0.421 0.952
CELL_PARAMETERS angstrom
-3.058 -4.162 -0.831
0.331 -3.769 1.956
-1.663 0.842 1.903
```

[2]
Below is a geometry-optimized SrTcPS2 structure, with properties calculated at the PBE-GGA level. Values from VASP.

Results
SG: P4/mmm, No. 123
Raw formation energy (eV per atom): -0.542
Relative energy among the computed polymorphs (eV per formula unit): 0.00
D(E_F) (states/eV/cell): 3.90
Magnetization (μB per cell): 1.5

The structure in Quantum ESPRESSO input format:
```
&SYSTEM
  ibrav = 0, nat = 5, ntyp = 4
/
ATOMIC_SPECIES
Sr 87.62 Sr.upf
S 32.06 S.upf
Tc 98.00 Tc.upf
P 30.97 P.upf
ATOMIC_POSITIONS angstrom
Sr 2.458 2.458 2.252
S 0.000 2.458 0.000
S 2.458 0.000 0.000
Tc 0.000 0.000 0.000
P 0.000 0.000 2.252
CELL_PARAMETERS angstrom
4.916 0.000 0.000
0.000 4.916 0.000
0.000 0.000 4.503
```

[3]
Below is a geometry-optimized Mn3Be4 structure, with properties calculated at the PBE-GGA level. Values from VASP.

Results
SG: I4/mmm, No. 139
D(E_F) (states/eV/cell): 4.30
Magnetization (μB per cell): 1.7
E_tot (eV for the cell shown): -43.005

The structure in Quantum ESPRESSO input format:
```
&SYSTEM
  ibrav = 0, nat = 7, ntyp = 2
/
ATOMIC_SPECIES
Mn 54.94 Mn.upf
Be 9.01 Be.upf
ATOMIC_POSITIONS angstrom
Mn 0.000 0.000 0.000
Mn 0.000 0.000 13.491
Mn 0.000 0.000 5.364
Be 0.000 0.000 16.217
Be 0.000 0.000 2.638
Be 0.000 0.000 10.898
Be 0.000 0.000 7.958
CELL_PARAMETERS angstrom
-1.314 1.314 9.428
1.314 -1.314 9.428
1.314 1.314 -9.428
```

[4]
Below is a geometry-optimized KRb2AsP structure, with properties calculated at the PBE-GGA level. Values from VASP.

Results
SG: P4/mmm, No. 123
D(E_F) (states/eV/cell): 2.19
Magnetization (μB per cell): 0.0
E_tot (eV for the cell shown): -13.138

The structure in Quantum ESPRESSO input format:
```
&SYSTEM
  ibrav = 0, nat = 5, ntyp = 4
/
ATOMIC_SPECIES
P 30.97 P.upf
As 74.92 As.upf
K 39.10 K.upf
Rb 85.47 Rb.upf
ATOMIC_POSITIONS angstrom
P 0.000 0.000 0.000
As 0.000 2.417 0.000
K 3.412 2.417 3.412
Rb 0.000 0.000 3.412
Rb 3.412 0.000 0.000
CELL_PARAMETERS angstrom
6.825 0.000 0.000
0.000 4.833 0.000
0.000 0.000 6.825
```

[5]
Below is a geometry-optimized CaMgPt2 structure, with properties calculated at the PBE-GGA level. Values from VASP.

Results
SG: F-43m, No. 216
D(E_F) (states/eV/cell): 2.42
Magnetization (μB per cell): 0.0
E_tot (eV for the cell shown): -17.835

The structure in Quantum ESPRESSO input format:
```
&SYSTEM
  ibrav = 0, nat = 4, ntyp = 3
/
ATOMIC_SPECIES
Ca 40.08 Ca.upf
Mg 24.30 Mg.upf
Pt 195.08 Pt.upf
ATOMIC_POSITIONS angstrom
Ca -1.858 -2.541 4.858
Mg -2.787 -3.812 7.287
Pt 0.000 0.000 0.000
Pt -0.929 -1.271 2.429
CELL_PARAMETERS angstrom
-2.230 0.695 4.109
-2.810 -3.367 1.763
1.324 -2.410 3.845
```

[6]
Below is a geometry-optimized KLaTa2 structure, with properties calculated at the PBE-GGA level. Values from VASP.

Results
SG: I4/mmm, No. 139
Relative energy among the computed polymorphs (eV per formula unit): 2.79
D(E_F) (states/eV/cell): 6.06
Magnetization (μB per cell): 0.0

The structure in Quantum ESPRESSO input format:
```
&SYSTEM
  ibrav = 0, nat = 4, ntyp = 3
/
ATOMIC_SPECIES
K 39.10 K.upf
La 138.91 La.upf
Ta 180.95 Ta.upf
ATOMIC_POSITIONS angstrom
K 1.774 2.609 1.477
La 3.155 -0.002 1.477
Ta 0.000 0.000 0.000
Ta 4.929 2.607 0.000
CELL_PARAMETERS angstrom
6.310 -0.003 0.000
3.548 5.218 0.000
-4.929 -2.607 2.953
```